Entry 1:
Computed, not measured: a crystal of LiCuPt2 relaxed with PBEsol at the SCAN level of DFT.

Cell: 2.6722 4.7363 5.0486 Å, 117.21 104.11 92.56°
With the nearest neighbours (Å) after each atom.
Element x y z (fractional)
Cu1 0.5000 0.0000 0.0000  4 Pt 2.55, 4 Li 2.67-2.77, 2 Cu 2.67
Pt1 0.0000 0.0000 0.5000  2 Li 2.55, 2 Cu 2.55, 6 Pt 2.67-2.77
Li1 0.0000 0.5000 0.0000  4 Pt 2.55, 4 Cu 2.67-2.77, 2 Li 2.67
Pt2 0.5000 0.5000 0.5000  2 Cu 2.55, 2 Li 2.55, 6 Pt 2.67-2.77

## Properties
Space-group type: No. 12
Offset from the most stable computed form: 0.11 eV per formula unit
Energy relative to the elements: -0.39 eV/atom

=====

Entry 2:
Computed, not measured: a crystal of LiCuPt relaxed with PBEsol at the SCAN level of DFT.

Cell: 2.6099 4.0888 4.0888 Å, 120.00 90.00 90.00°
With the nearest neighbours (Å) after each atom.
Element x y z (fractional)
Li1 0.7882 0.3333 0.6667  3 Cu 2.37, 2 Li 2.61, 3 Pt 2.63
Pt1 0.3410 0.6667 0.3333  2 Pt 2.61, 6 Li 2.63-2.77, 6 Cu 2.66-2.74
Cu1 0.8708 0.0000 0.0000  3 Li 2.37, 2 Cu 2.61

## Properties
Space-group type: No. 156
Offset from the most stable computed form: 0.00 eV per formula unit
Energy relative to the elements: -0.36 eV/atom

=====

Entry 3:
Computed, not measured: a crystal of LiCuPt2 relaxed with PBEsol at the SCAN level of DFT.

Cell: 3.8306 3.8306 4.4939 Å, 115.23 115.23 90.00°
With the nearest neighbours (Å) after each atom.
Element x y z (fractional)
Pt1 0.2500 0.7500 0.5000  4 Li 2.62, 4 Cu 2.62, 4 Pt 2.71
Pt2 0.7500 0.2500 0.5000  4 Li 2.62, 4 Cu 2.62, 4 Pt 2.71
Li1 0.0000 0.0000 0.0000  8 Pt 2.62, 4 Cu 2.71
Cu1 0.5000 0.5000 0.0000  8 Pt 2.62, 4 Li 2.71

## Properties
Space-group type: No. 139
Offset from the most stable computed form: 0.25 eV per formula unit
Energy relative to the elements: -0.36 eV/atom

=====

Entry 4:
Computed, not measured: a crystal of LiCuPt relaxed with PBEsol at the SCAN level of DFT.

Cell: 2.6494 3.7945 4.4796 Å, 115.06 107.20 90.00°
With the nearest neighbours (Å) after each atom.
Element x y z (fractional)
Pt1 0.3357 0.3357 0.6715  5 Li 2.55-2.65, 5 Cu 2.61-2.62, 2 Pt 2.65
Cu1 0.9958 0.9958 0.9916  5 Li 2.51-2.67, 5 Pt 2.61-2.62, 2 Cu 2.65
Li1 0.6685 0.6685 0.3370  5 Cu 2.51-2.67, 5 Pt 2.55-2.65, 2 Li 2.65

## Properties
Space-group type: No. 44
Offset from the most stable computed form: 0.01 eV per formula unit
Energy relative to the elements: -0.36 eV/atom

=====

Entry 5:
Computed, not measured: a crystal of LiCu4Pt relaxed with PBEsol at the SCAN level of DFT.

Cell: 4.7283 4.7283 4.7283 Å, 60.00 60.00 60.00°
With the nearest neighbours (Å) after each atom.
Element x y z (fractional)
Cu1 0.3751 0.8748 0.3751  6 Cu 2.36-2.37
Li1 0.7500 0.7500 0.7500  12 Cu 2.77, 4 Pt 2.90
Pt1 0.0000 0.0000 0.0000  12 Cu 2.77, 4 Li 2.90
Cu2 0.3751 0.3751 0.3751  6 Cu 2.36-2.37
Cu3 0.8748 0.3751 0.3751  6 Cu 2.36-2.37
Cu4 0.3751 0.3751 0.8748  6 Cu 2.36-2.37

## Properties
Space-group type: No. 216
Energy relative to the elements: -0.12 eV/atom

=====

Entry 6:
Computed, not measured: a crystal of LiCu3Pt relaxed with PBEsol at the SCAN level of DFT.

Cell: 4.6648 4.6648 4.6648 Å, 90.00 90.00 90.00°
With the nearest neighbours (Å) after each atom.
Element x y z (fractional)
Cu1 0.0000 0.5000 0.0000  2 Pt 2.33
Pt1 0.0000 0.0000 0.0000  6 Cu 2.33
Li1 0.5000 0.5000 0.5000  12 Cu 3.30
Cu2 0.0000 0.0000 0.5000  2 Pt 2.33
Cu3 0.5000 0.0000 0.0000  2 Pt 2.33

## Properties
Space-group type: No. 221
Energy relative to the elements: 0.59 eV/atom

=====

Entry 7:
Computed, not measured: a crystal of LiCuPt2 relaxed with PBEsol at the SCAN level of DFT.

Cell: 2.7059 4.4641 4.6921 Å, 99.98 106.76 90.00°
With the nearest neighbours (Å) after each atom.
Element x y z (fractional)
Cu1 0.5050 0.5046 0.0099  7 Pt 2.59-2.70, 3 Li 2.65-2.73, 2 Cu 2.71
Pt1 0.9961 0.0058 0.9922  4 Cu 2.59-2.63, 3 Li 2.64-2.70, 5 Pt 2.68-2.75
Pt2 0.2495 0.7414 0.4990  4 Li 2.58-2.64, 3 Cu 2.63-2.70, 5 Pt 2.68-2.75
Li1 0.7494 0.2482 0.4989  7 Pt 2.58-2.70, 3 Cu 2.65-2.73, 2 Li 2.71

## Properties
Space-group type: No. 8
Offset from the most stable computed form: 0.33 eV per formula unit
Energy relative to the elements: -0.34 eV/atom

=====

Entry 8:
Computed, not measured: a crystal of RbLiCuSn2 relaxed with PBEsol at the SCAN level of DFT.

Cell: 4.6459 6.0195 6.0195 Å, 90.00 90.00 90.00°
With the nearest neighbours (Å) after each atom.
Element x y z (fractional)
Sn1 0.0000 0.0000 0.5000  2 Rb 3.01
Li1 0.5000 0.0000 0.0000  2 Rb 2.32
Cu1 0.5000 0.5000 0.5000  8 Sn 3.80, 4 Li 4.26
Rb1 0.0000 0.0000 0.0000  2 Li 2.32
Sn2 0.0000 0.5000 0.0000  2 Rb 3.01

## Properties
Space-group type: No. 123
Energy relative to the elements: 1.51 eV/atom

=====

Entry 9:
Computed, not measured: a crystal of Rb2SrLiCu relaxed with PBEsol at the SCAN level of DFT.

Cell: 5.2153 6.7025 6.7025 Å, 90.00 90.00 90.00°
With the nearest neighbours (Å) after each atom.
Element x y z (fractional)
Li1 0.5000 0.0000 0.0000  2 Cu 2.61
Rb1 0.0000 0.5000 0.0000  2 Cu 3.35
Sr1 0.5000 0.5000 0.5000  8 Rb 4.25, 4 Li 4.74
Rb2 0.0000 0.0000 0.5000  2 Cu 3.35
Cu1 0.0000 0.0000 0.0000  2 Li 2.61

## Properties
Space-group type: No. 123
Energy relative to the elements: 0.41 eV/atom

=====

Entry 10:
Computed, not measured: a crystal of Li2CuRe relaxed with PBEsol at the SCAN level of DFT.

Cell: 2.4740 4.6157 4.8888 Å, 104.64 104.66 90.00°
With the nearest neighbours (Å) after each atom.
Element x y z (fractional)
Cu1 0.5000 0.0000 0.0000  2 Cu 2.47, 4 Li 2.57, 4 Re 2.62
Li1 0.2385 0.2488 0.4769  6 Li 2.47-2.67, 2 Cu 2.57, 2 Re 2.74
Re1 0.0000 0.5000 0.0000  2 Re 2.47, 4 Cu 2.62, 4 Li 2.74
Li2 0.7615 0.7512 0.5231  6 Li 2.47-2.67, 2 Cu 2.57, 2 Re 2.74

## Properties
Space-group type: No. 12
Offset from the most stable computed form: 0.00 eV per formula unit
Energy relative to the elements: 0.22 eV/atom

=====

Entry 11:
Computed, not measured: a crystal of Li2CuRe relaxed with PBEsol at the SCAN level of DFT.

Cell: 2.4627 4.1288 5.3023 Å, 90.00 90.00 90.00°
With the nearest neighbours (Å) after each atom.
Element x y z (fractional)
Cu1 0.5000 0.5000 0.7153  2 Cu 2.46, 1 Li 2.50, 4 Re 2.60
Re1 0.0000 0.0000 0.5284  2 Re 2.46, 2 Li 2.57-2.73, 4 Cu 2.60
Li1 0.0000 0.0000 0.0131  6 Li 2.46-2.70, 2 Re 2.57-2.73
Li2 0.5000 0.5000 0.2432  6 Li 2.46-2.70, 1 Cu 2.50

## Properties
Space-group type: No. 25
Offset from the most stable computed form: 0.21 eV per formula unit
Energy relative to the elements: 0.28 eV/atom

=====

Entry 12:
Computed, not measured: a crystal of LiCu2Re relaxed with PBEsol at the SCAN level of DFT.

Cell: 2.4801 3.8399 5.3086 Å, 90.00 90.00 90.00°
With the nearest neighbours (Å) after each atom.
Element x y z (fractional)
Li1 0.5000 0.5000 0.0000  2 Li 2.48, 2 Re 2.65, 8 Cu 2.66
Re1 0.5000 0.5000 0.5000  2 Re 2.48, 8 Cu 2.63, 2 Li 2.65
Cu1 0.0000 0.0000 0.7443  4 Cu 2.48-2.72, 4 Re 2.63, 4 Li 2.66
Cu2 0.0000 0.0000 0.2557  4 Cu 2.48-2.72, 4 Re 2.63, 4 Li 2.66

## Properties
Space-group type: No. 47
Offset from the most stable computed form: 0.00 eV per formula unit
Energy relative to the elements: 0.25 eV/atom

=====

Entry 13:
Computed, not measured: a crystal of Li2CuRe relaxed with PBEsol at the SCAN level of DFT.

Cell: 4.0803 4.0803 4.0803 Å, 60.00 60.00 60.00°
With the nearest neighbours (Å) after each atom.
Element x y z (fractional)
Cu1 0.0000 0.0000 0.0000  8 Li 2.50
Re1 0.5000 0.5000 0.5000  8 Li 2.50
Li1 0.7500 0.7500 0.7500  4 Re 2.50, 4 Cu 2.50
Li2 0.2500 0.2500 0.2500  4 Re 2.50, 4 Cu 2.50

## Properties
Space-group type: No. 225
Offset from the most stable computed form: 2.39 eV per formula unit
Energy relative to the elements: 0.82 eV/atom

=====

Entry 14:
Computed, not measured: a crystal of LiCu3Re relaxed with PBEsol at the SCAN level of DFT.

Cell: 3.8832 3.8832 3.8832 Å, 90.00 90.00 90.00°
With the nearest neighbours (Å) after each atom.
Element x y z (fractional)
Cu1 0.0000 0.5000 0.0000  2 Li 1.94
Cu2 0.0000 0.0000 0.5000  2 Li 1.94
Re1 0.5000 0.5000 0.5000  12 Cu 2.75
Cu3 0.5000 0.0000 0.0000  2 Li 1.94
Li1 0.0000 0.0000 0.0000  6 Cu 1.94

## Properties
Space-group type: No. 221
Energy relative to the elements: 0.93 eV/atom

=====

Entry 15:
Computed, not measured: a crystal of LiCu2Re relaxed with PBEsol at the SCAN level of DFT.

Cell: 4.1249 4.1249 4.1249 Å, 60.00 60.00 60.00°
With the nearest neighbours (Å) after each atom.
Element x y z (fractional)
Re1 0.5000 0.5000 0.5000  8 Cu 2.53
Cu1 0.2500 0.2500 0.2500  4 Re 2.53, 4 Li 2.53
Li1 0.0000 0.0000 0.0000  8 Cu 2.53
Cu2 0.7500 0.7500 0.7500  4 Li 2.53, 4 Re 2.53

## Properties
Space-group type: No. 225
Offset from the most stable computed form: 1.00 eV per formula unit
Energy relative to the elements: 0.50 eV/atom